# Sc2Ag PBE-GGA optimized geometry
data_Sc2Ag
_cell_length_a 3.2253
_cell_length_b 3.2253
_cell_length_c 26.0733
_cell_angle_alpha 90.00
_cell_angle_beta 90.00
_cell_angle_gamma 90.00
_symmetry_space_group_name_H-M 'I 41/a m d'
_symmetry_Int_Tables_number 141
loop_
_symmetry_equiv_pos_as_xyz
'x,y,z'
'-x,-y,-z'
'-y+1/4,x+3/4,z+1/4'
'y+1/4,-x+3/4,-z+1/4'
'-x+1/2,-y,z+1/2'
'x+1/2,y,-z+1/2'
'y+1/4,-x+1/4,z+3/4'
'-y+1/4,x+1/4,-z+3/4'
'x,-y,-z'
'-x,y,z'
'-y+1/4,-x+1/4,-z+3/4'
'y+1/4,x+1/4,z+3/4'
'-x+1/2,y,-z+1/2'
'x+1/2,-y,z+1/2'
'y+1/4,x+3/4,-z+1/4'
'-y+1/4,-x+3/4,z+1/4'
'x+1/2,y+1/2,z+1/2'
'-x+1/2,-y+1/2,-z+1/2'
'-y+3/4,x+1/4,z+3/4'
'y+3/4,-x+1/4,-z+3/4'
'-x,-y+1/2,z'
'x,y+1/2,-z'
'y+3/4,-x+3/4,z+1/4'
'-y+3/4,x+3/4,-z+1/4'
'x+1/2,-y+1/2,-z+1/2'
'-x+1/2,y+1/2,z+1/2'
'-y+3/4,-x+3/4,-z+1/4'
'y+3/4,x+3/4,z+1/4'
'-x,y+1/2,-z'
'x,-y+1/2,z'
'y+3/4,x+1/4,-z+3/4'
'-y+3/4,-x+1/4,z+3/4'
loop_
_atom_site_label
_atom_site_fract_x
_atom_site_fract_y
_atom_site_fract_z
Sc1 0.0000 0.2500 0.3028
Ag1 0.0000 0.2500 0.8750
# total moment = 2.2 μB per cell
# DFT formation energy = 0.025 eV per atom

# Sc5Ag4 PBE-GGA optimized geometry
data_Sc5Ag4
_cell_length_a 8.5707
_cell_length_b 8.5707
_cell_length_c 5.9760
_cell_angle_alpha 90.00
_cell_angle_beta 90.00
_cell_angle_gamma 120.00
_symmetry_space_group_name_H-M 'P 63/m c m'
_symmetry_Int_Tables_number 193
_symmetry_space_group_name_Hall '-P 6c 2'
loop_
_atom_site_label
_atom_site_fract_x
_atom_site_fract_y
_atom_site_fract_z
Sc1 0.0000 0.2947 0.2500
Sc2 0.3333 0.6667 0.0000
Ag1 0.0000 0.0000 0.0000
Ag2 0.0000 0.3795 0.7500
# distance to the lowest polymorph of the same formula = 0.0 kJ/mol of formula units
# total moment = 0.0 μB per cell
# DFT formation energy = -0.165 eV per atom

# Sc3Ag5 PBE-GGA optimized geometry
data_Sc3Ag5
_cell_length_a 14.3169
_cell_length_b 8.2903
_cell_length_c 5.6485
_cell_angle_alpha 90.00
_cell_angle_beta 90.00
_cell_angle_gamma 90.00
_symmetry_space_group_name_H-M 'C m c m'
_symmetry_Int_Tables_number 63
_symmetry_space_group_name_Hall '-C 2c 2'
loop_
_atom_site_label
_atom_site_fract_x
_atom_site_fract_y
_atom_site_fract_z
Sc1 0.0000 0.1085 0.2500
Sc2 0.1958 0.3039 0.7500
Ag1 0.0000 0.2459 0.7500
Ag2 0.1267 0.3736 0.2500
Ag3 0.1669 0.0000 0.0000
# distance to the lowest polymorph of the same formula = 128.9 kJ/mol of formula units
# total moment = 0.0 μB per cell
# DFT formation energy = -0.022 eV per atom

# Sc5Ag3 PBE-GGA optimized geometry
data_Sc5Ag3
_cell_length_a 3.3817
_cell_length_b 3.3817
_cell_length_c 15.0390
_cell_angle_alpha 90.00
_cell_angle_beta 90.00
_cell_angle_gamma 90.00
_symmetry_space_group_name_H-M 'P 4/m m m'
_symmetry_Int_Tables_number 123
_symmetry_space_group_name_Hall '-P 4 2'
loop_
_atom_site_label
_atom_site_fract_x
_atom_site_fract_y
_atom_site_fract_z
Sc1 0.0000 0.0000 0.0000
Sc2 0.0000 0.0000 0.2343
Sc3 0.5000 0.5000 0.3820
Ag1 0.0000 0.0000 0.5000
Ag2 0.5000 0.5000 0.1170
# distance to the lowest polymorph of the same formula = 0.0 kJ/mol of formula units
# total moment = 2.2 μB per cell
# DFT formation energy = -0.182 eV per atom

# Sc3Ag4 PBE-GGA optimized geometry
data_Sc3Ag4
_cell_length_a 3.5618
_cell_length_b 3.5618
_cell_length_c 21.9888
_cell_angle_alpha 90.00
_cell_angle_beta 90.00
_cell_angle_gamma 90.00
_symmetry_space_group_name_H-M 'I 4/m m m'
_symmetry_Int_Tables_number 139
_symmetry_space_group_name_Hall '-I 4 2'
loop_
_atom_site_label
_atom_site_fract_x
_atom_site_fract_y
_atom_site_fract_z
Sc1 0.0000 0.0000 0.0000
Sc2 0.0000 0.0000 0.2956
Ag1 0.0000 0.0000 0.1383
Ag2 0.0000 0.0000 0.4322
# distance to the lowest polymorph of the same formula = 0.0 kJ/mol of formula units
# total moment = 2.2 μB per cell
# DFT formation energy = -0.237 eV per atom

# Sc2Ag PBE-GGA optimized geometry
data_Sc2Ag
_cell_length_a 4.4351
_cell_length_b 4.4351
_cell_length_c 25.7491
_cell_angle_alpha 90.00
_cell_angle_beta 90.00
_cell_angle_gamma 90.00
_symmetry_space_group_name_H-M 'I 41/a m d'
_symmetry_Int_Tables_number 141
loop_
_symmetry_equiv_pos_as_xyz
'x,y,z'
'-x,-y,-z'
'-y+1/4,x+3/4,z+1/4'
'y+1/4,-x+3/4,-z+1/4'
'-x+1/2,-y,z+1/2'
'x+1/2,y,-z+1/2'
'y+1/4,-x+1/4,z+3/4'
'-y+1/4,x+1/4,-z+3/4'
'x,-y,-z'
'-x,y,z'
'-y+1/4,-x+1/4,-z+3/4'
'y+1/4,x+1/4,z+3/4'
'-x+1/2,y,-z+1/2'
'x+1/2,-y,z+1/2'
'y+1/4,x+3/4,-z+1/4'
'-y+1/4,-x+3/4,z+1/4'
'x+1/2,y+1/2,z+1/2'
'-x+1/2,-y+1/2,-z+1/2'
'-y+3/4,x+1/4,z+3/4'
'y+3/4,-x+1/4,-z+3/4'
'-x,-y+1/2,z'
'x,y+1/2,-z'
'y+3/4,-x+3/4,z+1/4'
'-y+3/4,x+3/4,-z+1/4'
'x+1/2,-y+1/2,-z+1/2'
'-x+1/2,y+1/2,z+1/2'
'-y+3/4,-x+3/4,-z+1/4'
'y+3/4,x+3/4,z+1/4'
'-x,y+1/2,-z'
'x,-y+1/2,z'
'y+3/4,x+1/4,-z+3/4'
'-y+3/4,-x+1/4,z+3/4'
loop_
_atom_site_label
_atom_site_fract_x
_atom_site_fract_y
_atom_site_fract_z
Sc1 0.0000 0.2500 0.1241
Sc2 0.0000 0.2500 0.2874
Ag1 0.0000 0.2500 0.7923
# total moment = 0.0 μB per cell
# DFT formation energy = -0.086 eV per atom

# Sc4Ag3 PBE-GGA optimized geometry
data_Sc4Ag3
_cell_length_a 5.5667
_cell_length_b 5.5667
_cell_length_c 5.5257
_cell_angle_alpha 90.00
_cell_angle_beta 90.00
_cell_angle_gamma 120.00
_symmetry_space_group_name_H-M 'P 6/m m m'
_symmetry_Int_Tables_number 191
_symmetry_space_group_name_Hall '-P 6 2'
loop_
_atom_site_label
_atom_site_fract_x
_atom_site_fract_y
_atom_site_fract_z
Sc1 0.0000 0.0000 0.2438
Sc2 0.3333 0.6667 0.0000
Ag1 0.0000 0.5000 0.5000
# distance to the lowest polymorph of the same formula = 65.0 kJ/mol of formula units
# total moment = 0.6 μB per cell
# DFT formation energy = -0.072 eV per atom

# Sc4Ag PBE-GGA optimized geometry
data_Sc4Ag
_cell_length_a 10.7240
_cell_length_b 14.9324
_cell_length_c 5.6537
_cell_angle_alpha 90.00
_cell_angle_beta 90.00
_cell_angle_gamma 90.00
_symmetry_space_group_name_H-M 'F d d 2'
_symmetry_Int_Tables_number 43
_symmetry_space_group_name_Hall 'F 2 -2d'
loop_
_atom_site_label
_atom_site_fract_x
_atom_site_fract_y
_atom_site_fract_z
Sc1 0.0402 0.1997 0.0000
Sc2 0.0475 0.0984 0.4942
Ag1 0.0000 0.0000 0.0367
# distance to the lowest polymorph of the same formula = 32.1 kJ/mol of formula units
# total moment = 3.7 μB per cell
# DFT formation energy = -0.005 eV per atom

# Sc5Ag3 PBE-GGA optimized geometry
data_Sc5Ag3
_cell_length_a 5.6525
_cell_length_b 15.9931
_cell_length_c 7.9952
_cell_angle_alpha 90.00
_cell_angle_beta 106.27
_cell_angle_gamma 90.00
_symmetry_space_group_name_H-M 'C 1 2/m 1'
_symmetry_Int_Tables_number 12
loop_
_symmetry_equiv_pos_as_xyz
'x,y,z'
'-x,-y,-z'
'-x,y,-z'
'x,-y,z'
'x+1/2,y+1/2,z'
'-x+1/2,-y+1/2,-z'
'-x+1/2,y+1/2,-z'
'x+1/2,-y+1/2,z'
loop_
_atom_site_label
_atom_site_fract_x
_atom_site_fract_y
_atom_site_fract_z
Sc1 0.1258 0.1796 0.2050
Sc2 0.1848 0.3997 0.3615
Sc3 0.2417 0.5000 0.9840
Ag1 0.0000 0.2494 0.5000
Ag2 0.0000 0.3345 0.0000
Ag3 0.1310 0.0000 0.3311
# distance to the lowest polymorph of the same formula = 39.1 kJ/mol of formula units
# total moment = 0.0 μB per cell
# DFT formation energy = -0.132 eV per atom

# Sc2Ag PBE-GGA optimized geometry
data_Sc2Ag
_cell_length_a 6.6630
_cell_length_b 6.6630
_cell_length_c 6.6630
_cell_angle_alpha 90.00
_cell_angle_beta 90.00
_cell_angle_gamma 90.00
_symmetry_space_group_name_H-M 'F m -3 m'
_symmetry_Int_Tables_number 225
_symmetry_space_group_name_Hall '-F 4 2 3'
loop_
_atom_site_label
_atom_site_fract_x
_atom_site_fract_y
_atom_site_fract_z
Sc1 0.2500 0.2500 0.2500
Ag1 0.0000 0.0000 0.0000
# total moment = 0.0 μB per cell
# DFT formation energy = 0.107 eV per atom

# Sc2Ag PBE-GGA optimized geometry
data_Sc2Ag
_cell_length_a 6.6909
_cell_length_b 6.6909
_cell_length_c 6.6909
_cell_angle_alpha 90.00
_cell_angle_beta 90.00
_cell_angle_gamma 90.00
_symmetry_space_group_name_H-M 'P a -3'
_symmetry_Int_Tables_number 205
_symmetry_space_group_name_Hall '-P 2ac 2ab 3'
loop_
_atom_site_label
_atom_site_fract_x
_atom_site_fract_y
_atom_site_fract_z
Sc1 0.1532 0.1532 0.1532
Ag1 0.0000 0.0000 0.5000
# total moment = 0.0 μB per cell
# DFT formation energy = 0.165 eV per atom

# Sc5Ag3 PBE-GGA optimized geometry
data_Sc5Ag3
_cell_length_a 8.4204
_cell_length_b 8.4204
_cell_length_c 5.6265
_cell_angle_alpha 90.00
_cell_angle_beta 90.00
_cell_angle_gamma 120.00
_symmetry_space_group_name_H-M 'P 63/m c m'
_symmetry_Int_Tables_number 193
_symmetry_space_group_name_Hall '-P 6c 2'
loop_
_atom_site_label
_atom_site_fract_x
_atom_site_fract_y
_atom_site_fract_z
Sc1 0.0000 0.2356 0.2500
Sc2 0.3333 0.6667 0.0000
Ag1 0.0000 0.4014 0.7500
# distance to the lowest polymorph of the same formula = 25.9 kJ/mol of formula units
# total moment = 0.0 μB per cell
# DFT formation energy = -0.149 eV per atom

# ScAg2Se PBE-GGA optimized geometry
data_ScAg2Se
_cell_length_a 8.0443
_cell_length_b 8.0443
_cell_length_c 5.3107
_cell_angle_alpha 90.00
_cell_angle_beta 90.00
_cell_angle_gamma 90.00
_symmetry_space_group_name_H-M 'I -4 2 d'
_symmetry_Int_Tables_number 122
_symmetry_space_group_name_Hall 'I -4 2bw'
loop_
_atom_site_label
_atom_site_fract_x
_atom_site_fract_y
_atom_site_fract_z
Sc1 0.0000 0.0000 0.0000
Ag1 0.2201 0.2500 0.6250
Se1 0.0000 0.0000 0.5000
# formation energy without anion corrections = -0.28 eV/atom
# total moment = 0.0 μB per cell

# ScAg2Se PBE-GGA optimized geometry
data_ScAg2Se
_cell_length_a 3.5663
_cell_length_b 3.5663
_cell_length_c 6.5113
_cell_angle_alpha 90.00
_cell_angle_beta 90.00
_cell_angle_gamma 90.00
_symmetry_space_group_name_H-M 'P 4 m m'
_symmetry_Int_Tables_number 99
loop_
_symmetry_equiv_pos_as_xyz
'x,y,z'
'-y,x,z'
'-x,-y,z'
'y,-x,z'
'-x,y,z'
'y,x,z'
'x,-y,z'
'-y,-x,z'
loop_
_atom_site_label
_atom_site_fract_x
_atom_site_fract_y
_atom_site_fract_z
Sc1 0.0000 0.0000 0.0000
Ag1 0.0000 0.0000 0.5352
Ag2 0.5000 0.5000 0.7197
Se1 0.5000 0.5000 0.1630
# formation energy without anion corrections = -0.54 eV/atom
# total moment = 0.0 μB per cell

# ScAgSe2 PBE-GGA optimized geometry
data_ScAgSe2
_cell_length_a 3.9719
_cell_length_b 3.9719
_cell_length_c 23.6764
_cell_angle_alpha 90.00
_cell_angle_beta 90.00
_cell_angle_gamma 120.00
_symmetry_space_group_name_H-M 'R -3 m'
_symmetry_Int_Tables_number 166
_symmetry_space_group_name_Hall '-R 3 2"'
loop_
_atom_site_label
_atom_site_fract_x
_atom_site_fract_y
_atom_site_fract_z
Sc1 0.0000 0.0000 0.0000
Ag1 0.0000 0.0000 0.5000
Se1 0.0000 0.0000 0.3949
# formation energy without anion corrections = -1.06 eV/atom
# total moment = 0.0 μB per cell

# ScAgSe2 PBE-GGA optimized geometry
data_ScAgSe2
_cell_length_a 4.0244
_cell_length_b 6.7663
_cell_length_c 13.2827
_cell_angle_alpha 90.00
_cell_angle_beta 90.00
_cell_angle_gamma 90.00
_symmetry_space_group_name_H-M 'P 21 21 21'
_symmetry_Int_Tables_number 19
loop_
_symmetry_equiv_pos_as_xyz
'x,y,z'
'-x+1/2,-y,z+1/2'
'x+1/2,-y+1/2,-z'
'-x,y+1/2,-z+1/2'
loop_
_atom_site_label
_atom_site_fract_x
_atom_site_fract_y
_atom_site_fract_z
Sc1 0.2139 0.2180 0.3703
Ag1 0.0224 0.7141 0.3780
Se1 0.2144 0.0765 0.7249
Se2 0.2215 0.4723 0.5309
# formation energy without anion corrections = -1.07 eV/atom
# total moment = 0.0 μB per cell

# ScAgSe2 PBE-GGA optimized geometry
data_ScAgSe2
_cell_length_a 12.8986
_cell_length_b 3.6075
_cell_length_c 3.8607
_cell_angle_alpha 90.00
_cell_angle_beta 90.06
_cell_angle_gamma 90.00
_symmetry_space_group_name_H-M 'C 1 m 1'
_symmetry_Int_Tables_number 8
loop_
_symmetry_equiv_pos_as_xyz
'x,y,z'
'x,-y,z'
'x+1/2,y+1/2,z'
'x+1/2,-y+1/2,z'
loop_
_atom_site_label
_atom_site_fract_x
_atom_site_fract_y
_atom_site_fract_z
Sc1 0.0000 0.0000 0.0000
Ag1 0.2132 0.0000 0.5007
Se1 0.1554 0.5000 0.0005
Se2 0.4217 0.0000 0.4998
# formation energy without anion corrections = -0.99 eV/atom
# total moment = 0.0 μB per cell

# ScAgSe2 PBE-GGA optimized geometry
data_ScAgSe2
_cell_length_a 6.0846
_cell_length_b 6.0846
_cell_length_c 12.1777
_cell_angle_alpha 90.00
_cell_angle_beta 90.00
_cell_angle_gamma 90.00
_symmetry_space_group_name_H-M 'I -4 2 d'
_symmetry_Int_Tables_number 122
_symmetry_space_group_name_Hall 'I -4 2bw'
loop_
_atom_site_label
_atom_site_fract_x
_atom_site_fract_y
_atom_site_fract_z
Sc1 0.0000 0.0000 0.0000
Ag1 0.0000 0.0000 0.5000
Se1 0.2353 0.2500 0.1250
# formation energy without anion corrections = -0.98 eV/atom
# total moment = 0.0 μB per cell

# ScAgSe2 PBE-GGA optimized geometry
data_ScAgSe2
_cell_length_a 6.8669
_cell_length_b 6.8669
_cell_length_c 6.8669
_cell_angle_alpha 90.00
_cell_angle_beta 90.00
_cell_angle_gamma 90.00
_symmetry_space_group_name_H-M 'F -4 3 m'
_symmetry_Int_Tables_number 216
_symmetry_space_group_name_Hall 'F -4 2 3'
loop_
_atom_site_label
_atom_site_fract_x
_atom_site_fract_y
_atom_site_fract_z
Sc1 0.0000 0.0000 0.0000
Ag1 0.2500 0.2500 0.2500
Se1 0.0000 0.0000 0.5000
Se2 0.2500 0.2500 0.7500
# formation energy without anion corrections = -0.30 eV/atom
# total moment = 0.0 μB per cell

# ScAgSe2 PBE-GGA optimized geometry
data_ScAgSe2
_cell_length_a 3.9721
_cell_length_b 3.9721
_cell_length_c 23.6707
_cell_angle_alpha 90.00
_cell_angle_beta 90.00
_cell_angle_gamma 120.00
_symmetry_space_group_name_H-M 'P 32 2 1'
_symmetry_Int_Tables_number 154
loop_
_symmetry_equiv_pos_as_xyz
'x,y,z'
'-y,x-y,z+2/3'
'-x+y,-x,z+1/3'
'y,x,-z'
'x-y,-y,-z+1/3'
'-x,-x+y,-z+2/3'
loop_
_atom_site_label
_atom_site_fract_x
_atom_site_fract_y
_atom_site_fract_z
Sc1 0.0000 0.3290 0.3333
Ag1 0.0000 0.3355 0.8333
Se1 0.0043 0.3376 0.9384
# formation energy without anion corrections = -1.05 eV/atom
# total moment = 0.0 μB per cell